[1]
Computed, not measured: a relaxed structure of Ac6Ge5I at the PBE level of DFT.

CIF file:
```
data_Ac6Ge5I
_symmetry_space_group_name_H-M 'C 1 2/m 1'
_symmetry_Int_Tables_number 12
_cell_length_a 8.012
_cell_length_b 13.954
_cell_length_c 7.998
_cell_angle_alpha 90.00
_cell_angle_beta 109.81
_cell_angle_gamma 90.00
loop_
_symmetry_equiv_pos_as_xyz
'x,y,z'
'-x,-y,-z'
'-x,y,-z'
'x,-y,z'
'x+1/2,y+1/2,z'
'-x+1/2,-y+1/2,-z'
'-x+1/2,y+1/2,-z'
'x+1/2,-y+1/2,z'
loop_
_atom_site_label
_atom_site_fract_x
_atom_site_fract_y
_atom_site_fract_z
Ac1 0.239 0.000 0.255
Ac2 0.239 0.173 0.737
Ge1 0.000 0.000 0.500
Ge2 0.000 0.168 0.000
Ge3 0.000 0.343 0.500
I1 0.000 0.500 0.000
```

Computed properties:
Fermi-level density of states = 12.9 states/eV/f.u.

[2]
Computed, not measured: a relaxed structure of Ac8InGe3I4 at the PBE level of DFT.

CIF file:
```
data_Ac8InGe3I4
_symmetry_space_group_name_H-M 'R -3 m'
_symmetry_Int_Tables_number 166
_symmetry_space_group_name_Hall '-R 3 2"'
_cell_length_a 9.4323
_cell_length_b 9.4323
_cell_length_c 23.9366
_cell_angle_alpha 90.00
_cell_angle_beta 90.00
_cell_angle_gamma 120.00
loop_
_atom_site_label
_atom_site_fract_x
_atom_site_fract_y
_atom_site_fract_z
Ac1 0.0000 0.0000 0.2341
Ac2 0.0086 0.5043 0.7638
In1 0.0000 0.0000 0.5000
Ge1 0.0000 0.5000 0.5000
I1 0.0000 0.0000 0.0000
I2 0.0000 0.5000 0.0000
```

Computed properties:
Fermi-level density of states = 6.9 states/eV/f.u.

Which total DFT energy (no corrections) belongs to each record? In order, -116.2; -210.9 eV/cell.
Which energy relative to the elements, uncorrected belongs to each record? In order, -0.7359; -0.9151 eV per atom.